Record 1
La2ScZn4 after structural relaxation, computed with PBE.

a = 8.8359 Å, b = 8.8359 Å, c = 8.8359 Å
α = 32.91°, β = 32.91°, γ = 32.91°
Atoms (fractional coordinates):
La 0.2468 0.2468 0.2468
La 0.7532 0.7532 0.7532
Sc 0.0000 0.0000 0.0000
Zn 0.1223 0.1223 0.1223
Zn 0.3697 0.3697 0.3697
Zn 0.6303 0.6303 0.6303
Zn 0.8777 0.8777 0.8777

---

Record 2
LaSc2Zn3 after structural relaxation, computed with PBE.

a = 3.4498 Å, b = 3.4498 Å, c = 10.6567 Å
α = 90.00°, β = 90.00°, γ = 90.00°
Atoms (fractional coordinates):
La 0.0000 0.0000 0.0000
Sc 0.0000 0.0000 0.3465
Sc 0.0000 0.0000 0.6535
Zn 0.5000 0.5000 0.2041
Zn 0.5000 0.5000 0.5000
Zn 0.5000 0.5000 0.7959

---

Record 3
LaScZn3 after structural relaxation, computed with PBE.

a = 5.3628 Å, b = 5.3628 Å, c = 5.3628 Å
α = 90.00°, β = 90.00°, γ = 90.00°
Atoms (fractional coordinates):
La 0.0000 0.0000 0.0000
Sc 0.5000 0.5000 0.5000
Zn 0.0000 0.0000 0.5000
Zn 0.0000 0.5000 0.0000
Zn 0.5000 0.0000 0.0000

---

Record 4
La2ScZn after structural relaxation, computed with PBE.

a = 3.5804 Å, b = 3.5804 Å, c = 31.1992 Å
α = 90.00°, β = 90.00°, γ = 120.00°
Atoms (fractional coordinates):
La 0.0000 0.0000 0.0000
La 0.0000 0.0000 0.2320
La 0.3333 0.6667 0.6667
La 0.3333 0.6667 0.8987
La 0.6667 0.3333 0.3333
La 0.6667 0.3333 0.5653
Sc 0.0000 0.0000 0.4748
Sc 0.3333 0.6667 0.1415
Sc 0.6667 0.3333 0.8081
Zn 0.0000 0.0000 0.7449
Zn 0.3333 0.6667 0.4116
Zn 0.6667 0.3333 0.0782

---

| no. | ΔH_f (0 K) (eV/atom) | mass density (Mg/m³) |
| --- | --- | --- |
| 1 | -0.1012 | 5.354 |
| 2 | -0.3254 | 5.565 |
| 3 | 0.9054 | 4.092 |
| 4 | -0.0147 | 5.583 |